Compound: ZrBrN
Source: Alexandria
Functional: SCAN
Structure: PBEsol geometry

Crystal system ... trigonal
E_form (uncorrected) ... -1.91 eV/atom
Magnetic moment ... 0.00 μB/atom
VASP energy ... -65.2 eV per formula unit

Geometry as CIF:
```
data_ZrBrN
_space_group_name_H-M_alt 'R -3 m'
_space_group_IT_number 166
_space_group_name_Hall '-R 3 2"'
_cell_length_a 3.6245
_cell_length_b 3.6245
_cell_length_c 30.0801
_cell_angle_alpha 90.00
_cell_angle_beta 90.00
_cell_angle_gamma 120.00
loop_
_atom_site_label
_atom_site_type_symbol
_atom_site_fract_x
_atom_site_fract_y
_atom_site_fract_z
Zr1 Zr 0.0000 0.0000 0.1237
Br1 Br 0.0000 0.0000 0.3918
N1 N 0.0000 0.0000 0.1954
```